Material: GaSb3Os
Method: DFT, PBE
State: optimized geometry Values from VASP.

Structure (Quantum ESPRESSO input):
```
&SYSTEM
  ibrav = 0, nat = 5, ntyp = 3
/
ATOMIC_SPECIES
Ga 69.72 Ga.upf
Os 190.23 Os.upf
Sb 121.76 Sb.upf
ATOMIC_POSITIONS crystal
Ga 0.000 0.000 0.000
Os 0.500 0.500 0.500
Sb 0.000 0.000 0.500
Sb 0.000 0.500 0.000
Sb 0.500 0.000 0.000
CELL_PARAMETERS angstrom
5.107 0.000 0.000
0.000 5.107 0.000
0.000 0.000 5.107
```

**Uncorrected formation energy**: 1.554 eV per atom
**Energy relative to the lowest polymorph listed for this composition**: 0.892 eV per atom
**DOS(E_F)**: 5.64 states/eV/f.u.
**E_tot**: -3.7709 eV/atom
**Space-group type**: Pm-3m, No. 221